No. 1
A plane-wave DFT calculation with GGA-PBE was carried out for a relaxed FePb2Cl crystal.

Geometry as CIF:
```
data_FePb2Cl
_cell_length_a 5.760
_cell_length_b 5.760
_cell_length_c 6.159
_cell_angle_alpha 117.43
_cell_angle_beta 117.43
_cell_angle_gamma 33.93
_space_group_name_H-M_alt 'P 1'
_space_group_IT_number 1
loop_
_space_group_symop_operation_xyz
'x,y,z'
loop_
_atom_site_label
_atom_site_fract_x
_atom_site_fract_y
_atom_site_fract_z
_atom_site_occupancy
Fe1 0.000 0.000 0.000 1
Pb1 0.274 0.274 0.972 1
Pb2 0.443 0.443 0.595 1
Cl1 0.627 0.627 0.296 1
```

Values from the calculation:
SG: Cm, No. 8
Energy above the lowest structure with this stoichiometry, eV per atom: 0.070
Electronic total energy, eV/atom: -4.3921
Fermi-level density of states, states/eV/f.u.: 3.86
ΔE_f (raw), meV/atom: 39.4

No. 2
A plane-wave DFT calculation with GGA-PBE was carried out for a relaxed FePb2Cl crystal.

Geometry as CIF:
```
data_FePb2Cl
_cell_length_a 3.623
_cell_length_b 4.067
_cell_length_c 7.779
_cell_angle_alpha 90.00
_cell_angle_beta 90.00
_cell_angle_gamma 90.00
_space_group_name_H-M_alt 'P 1'
_space_group_IT_number 1
loop_
_space_group_symop_operation_xyz
'x,y,z'
loop_
_atom_site_label
_atom_site_fract_x
_atom_site_fract_y
_atom_site_fract_z
_atom_site_occupancy
Fe1 0.000 0.000 0.000 1
Pb1 0.000 0.000 0.347 1
Pb2 0.500 0.500 0.962 1
Cl1 0.500 0.500 0.512 1
```

Values from the calculation:
SG: Pmm2, No. 25
Energy above the lowest structure with this stoichiometry, eV per atom: 0.211
Electronic total energy, eV/atom: -4.2510
Fermi-level density of states, states/eV/f.u.: 4.19
ΔE_f (raw), meV/atom: 180.5

No. 3
A plane-wave DFT calculation with GGA-PBE was carried out for a relaxed FePbCl2 crystal.

Geometry as CIF:
```
data_FePbCl2
_cell_length_a 6.148
_cell_length_b 6.148
_cell_length_c 6.148
_cell_angle_alpha 147.71
_cell_angle_beta 127.82
_cell_angle_gamma 62.71
_space_group_name_H-M_alt 'P 1'
_space_group_IT_number 1
loop_
_space_group_symop_operation_xyz
'x,y,z'
loop_
_atom_site_label
_atom_site_fract_x
_atom_site_fract_y
_atom_site_fract_z
_atom_site_occupancy
Fe1 0.000 0.000 0.000 1
Pb1 0.500 0.500 0.000 1
Cl1 0.163 0.663 0.500 1
Cl2 0.837 0.337 0.500 1
```

Values from the calculation:
SG: Immm, No. 71
Energy above the lowest structure with this stoichiometry, eV per atom: 0.154
Electronic total energy, eV/atom: -4.2513
Fermi-level density of states, states/eV/f.u.: 2.91
ΔE_f (raw), meV/atom: -285.2

No. 4
A plane-wave DFT calculation with GGA-PBE was carried out for a relaxed FePbCl crystal.

Geometry as CIF:
```
data_FePbCl
_cell_length_a 7.470
_cell_length_b 7.470
_cell_length_c 7.470
_cell_angle_alpha 155.74
_cell_angle_beta 155.74
_cell_angle_gamma 34.58
_space_group_name_H-M_alt 'P 1'
_space_group_IT_number 1
loop_
_space_group_symop_operation_xyz
'x,y,z'
loop_
_atom_site_label
_atom_site_fract_x
_atom_site_fract_y
_atom_site_fract_z
_atom_site_occupancy
Fe1 0.000 0.000 0.000 1
Pb1 0.654 0.654 0.000 1
Cl1 0.409 0.409 0.000 1
```

Values from the calculation:
SG: I4mm, No. 107
Energy above the lowest structure with this stoichiometry, eV per atom: 0.128
Electronic total energy, eV/atom: -4.6268
Fermi-level density of states, states/eV/f.u.: 0.91
ΔE_f (raw), meV/atom: 45.8

No. 5
A plane-wave DFT calculation with GGA-PBE was carried out for a relaxed FePbCl crystal.

Geometry as CIF:
```
data_FePbCl
_cell_length_a 4.711
_cell_length_b 4.711
_cell_length_c 4.711
_cell_angle_alpha 60.00
_cell_angle_beta 60.00
_cell_angle_gamma 60.00
_space_group_name_H-M_alt 'P 1'
_space_group_IT_number 1
loop_
_space_group_symop_operation_xyz
'x,y,z'
loop_
_atom_site_label
_atom_site_fract_x
_atom_site_fract_y
_atom_site_fract_z
_atom_site_occupancy
Fe1 0.000 0.000 0.000 1
Pb1 0.750 0.750 0.750 1
Cl1 0.250 0.250 0.250 1
```

Values from the calculation:
SG: F-43m, No. 216
Energy above the lowest structure with this stoichiometry, eV per atom: 0.524
Electronic total energy, eV/atom: -4.2309
Fermi-level density of states, states/eV/f.u.: 3.30
ΔE_f (raw), meV/atom: 441.6

No. 6
A plane-wave DFT calculation with GGA-PBE was carried out for a relaxed FePbCl2 crystal.

Geometry as CIF:
```
data_FePbCl2
_cell_length_a 5.969
_cell_length_b 5.969
_cell_length_c 5.706
_cell_angle_alpha 105.96
_cell_angle_beta 105.96
_cell_angle_gamma 31.74
_space_group_name_H-M_alt 'P 1'
_space_group_IT_number 1
loop_
_space_group_symop_operation_xyz
'x,y,z'
loop_
_atom_site_label
_atom_site_fract_x
_atom_site_fract_y
_atom_site_fract_z
_atom_site_occupancy
Fe1 0.000 0.000 0.000 1
Pb1 0.317 0.317 0.634 1
Cl1 0.458 0.458 0.280 1
Cl2 0.641 0.641 0.933 1
```

Values from the calculation:
SG: Cm, No. 8
Energy above the lowest structure with this stoichiometry, eV per atom: 0.097
Electronic total energy, eV/atom: -4.3082
Fermi-level density of states, states/eV/f.u.: 2.86
ΔE_f (raw), meV/atom: -342.1

No. 7
A plane-wave DFT calculation with GGA-PBE was carried out for a relaxed FePbCl2 crystal.

Geometry as CIF:
```
data_FePbCl2
_cell_length_a 3.337
_cell_length_b 3.337
_cell_length_c 8.177
_cell_angle_alpha 90.00
_cell_angle_beta 90.00
_cell_angle_gamma 90.00
_space_group_name_H-M_alt 'P 1'
_space_group_IT_number 1
loop_
_space_group_symop_operation_xyz
'x,y,z'
loop_
_atom_site_label
_atom_site_fract_x
_atom_site_fract_y
_atom_site_fract_z
_atom_site_occupancy
Fe1 0.000 0.000 0.000 1
Pb1 0.500 0.500 0.273 1
Cl1 0.000 0.000 0.507 1
Cl2 0.500 0.500 0.879 1
```

Values from the calculation:
SG: P4mm, No. 99
Energy above the lowest structure with this stoichiometry, eV per atom: 0.288
Electronic total energy, eV/atom: -4.1172
Fermi-level density of states, states/eV/f.u.: 3.75
ΔE_f (raw), meV/atom: -151.2

No. 8
A plane-wave DFT calculation with GGA-PBE was carried out for a relaxed Fe4PbCl crystal.

Geometry as CIF:
```
data_Fe4PbCl
_cell_length_a 5.147
_cell_length_b 5.147
_cell_length_c 5.147
_cell_angle_alpha 60.00
_cell_angle_beta 60.00
_cell_angle_gamma 60.00
_space_group_name_H-M_alt 'P 1'
_space_group_IT_number 1
loop_
_space_group_symop_operation_xyz
'x,y,z'
loop_
_atom_site_label
_atom_site_fract_x
_atom_site_fract_y
_atom_site_fract_z
_atom_site_occupancy
Fe1 0.124 0.124 0.124 1
Fe2 0.124 0.124 0.628 1
Fe3 0.124 0.628 0.124 1
Fe4 0.628 0.124 0.124 1
Pb1 0.750 0.750 0.750 1
Cl1 0.500 0.500 0.500 1
```

Values from the calculation:
SG: F-43m, No. 216
Electronic total energy, eV/atom: -6.0865
Fermi-level density of states, states/eV/f.u.: 3.80
ΔE_f (raw), meV/atom: 481.1

No. 9
A plane-wave DFT calculation with GGA-PBE was carried out for a relaxed FePb2Cl crystal.

Geometry as CIF:
```
data_FePb2Cl
_cell_length_a 5.607
_cell_length_b 5.607
_cell_length_c 3.266
_cell_angle_alpha 103.60
_cell_angle_beta 103.60
_cell_angle_gamma 88.45
_space_group_name_H-M_alt 'P 1'
_space_group_IT_number 1
loop_
_space_group_symop_operation_xyz
'x,y,z'
loop_
_atom_site_label
_atom_site_fract_x
_atom_site_fract_y
_atom_site_fract_z
_atom_site_occupancy
Fe1 0.000 0.000 0.000 1
Pb1 0.000 0.500 0.500 1
Pb2 0.500 0.000 0.500 1
Cl1 0.500 0.500 0.000 1
```

Values from the calculation:
SG: C2/m, No. 12
Energy above the lowest structure with this stoichiometry, eV per atom: 0.178
Electronic total energy, eV/atom: -4.2845
Fermi-level density of states, states/eV/f.u.: 3.58
ΔE_f (raw), meV/atom: 147.0

No. 10
A plane-wave DFT calculation with GGA-PBE was carried out for a relaxed FePbCl crystal.

Geometry as CIF:
```
data_FePbCl
_cell_length_a 3.342
_cell_length_b 3.342
_cell_length_c 7.627
_cell_angle_alpha 90.00
_cell_angle_beta 90.00
_cell_angle_gamma 120.00
_space_group_name_H-M_alt 'P 1'
_space_group_IT_number 1
loop_
_space_group_symop_operation_xyz
'x,y,z'
loop_
_atom_site_label
_atom_site_fract_x
_atom_site_fract_y
_atom_site_fract_z
_atom_site_occupancy
Fe1 0.000 0.000 0.000 1
Pb1 0.667 0.333 0.300 1
Cl1 0.333 0.667 0.814 1
```

Values from the calculation:
SG: P3m1, No. 156
Energy above the lowest structure with this stoichiometry, eV per atom: 0.000
Electronic total energy, eV/atom: -4.7550
Fermi-level density of states, states/eV/f.u.: 2.01
ΔE_f (raw), meV/atom: -82.4